4
Lattice="-2.0818 2.0818 4.4896 2.0818 -2.0818 4.4896 2.0818 2.0818 -4.4896" Properties=species:S:1:pos:R:3 comment="AlSb2W (PBEsol, relaxed)" total_magnetization_mub_per_atom=0.015 final_energy_ev_per_cell=-24.190 sg="I-4m2, No. 119" dos_ef_per_ev_atom=1.077 pbc="T T T"
Al 0.0000 0.0000 0.0000
Sb 0.0000 0.0000 4.4896
Sb 0.0000 2.0818 2.2448
W 2.0818 0.0000 2.2448

=====

4
Lattice="3.2063 0.0000 0.0000 0.0000 3.2063 0.0000 0.0000 0.0000 7.2665" Properties=species:S:1:pos:R:3 comment="LaCdCu2 (PBEsol, relaxed)" total_magnetization_mub_per_atom=0.000 final_energy_ev_per_cell=-15.368 formation_energy_ev_per_atom=-0.039 sg="P4mm, No. 99" dos_ef_per_ev_atom=0.523 pbc="T T T"
La 0.0000 0.0000 0.0000
Cd 1.6031 1.6031 2.5530
Cu 0.0000 0.0000 4.1364
Cu 1.6031 1.6031 5.2371